Tb2Ag2Pb | PBE | optimized geometry

Results
* spin magnetization: 0.000 μB per formula unit
* formation energy from the elements: -0.1572 eV per atom
* raw total energy: -3.89 eV per atom
* space-group type: C2/c
* crystal system: monoclinic

Cell: 7.4296 7.4296 5.1730 Å, 90.05 90.05 68.24°
With the nearest neighbours (Å) after each atom.
Fractional coordinates of all 10 atoms:
1 Tb 0.0475 0.6507 0.7496  4 Ag 2.94-3.29, 2 Pb 3.21
2 Tb 0.3493 0.9525 0.7504  4 Ag 2.94-3.29, 2 Pb 3.21
3 Tb 0.6507 0.0475 0.2496  4 Ag 2.94-3.29, 2 Pb 3.21
4 Tb 0.9525 0.3493 0.2504  4 Ag 2.94-3.29, 2 Pb 3.21
5 Ag 0.3103 0.4318 0.2482  2 Ag 2.78, 1 Pb 2.91, 2 Tb 2.94-3.03
6 Ag 0.4318 0.3103 0.7482  2 Ag 2.78, 1 Pb 2.91, 2 Tb 2.94-3.03
7 Ag 0.5682 0.6897 0.2518  2 Ag 2.78, 1 Pb 2.91, 2 Tb 2.94-3.03
8 Ag 0.6897 0.5682 0.7518  2 Ag 2.78, 1 Pb 2.91, 2 Tb 2.94-3.03
9 Pb 0.1461 0.8539 0.2500  2 Ag 2.91, 4 Tb 3.21
10 Pb 0.8539 0.1461 0.7500  2 Ag 2.91, 4 Tb 3.21